[1]
Below is an optimized crystal structure of Be2CuTe2, with properties calculated at the GGA-PBE level.

Cell: 7.6286 7.6286 3.9067 Å, 90.00 90.00 90.00°
Fractional positions:
Cu 0.0000 0.0000 0.0000
Cu 0.5000 0.5000 0.0000
Te 0.2293 0.7293 0.0000
Te 0.7293 0.7707 0.0000
Te 0.7707 0.2707 0.0000
Te 0.2707 0.2293 0.0000
Be 0.9006 0.4006 0.5000
Be 0.4006 0.0994 0.5000
Be 0.5994 0.9006 0.5000
Be 0.0994 0.5994 0.5000

Properties
E_form (uncorrected), eV/atom: 0.3651
VASP energy, eV per atom: -3.201
Spin magnetization, μB per atom: 0.00
Energy relative to the lowest polymorph listed for this composition, eV/atom: 0.093

***

[2]
Below is an optimized crystal structure of PmHfIr2, with properties calculated at the GGA-PBE level.

Cell: 4.8014 4.8014 4.8014 Å, 60.00 60.00 60.00°
Fractional positions:
Ir 0.7500 0.7500 0.7500
Ir 0.2500 0.2500 0.2500
Hf 0.5000 0.5000 0.5000
Pm 0.0000 0.0000 0.0000

Properties
VASP energy, eV per atom: -8.747
Spin magnetization, μB per atom: 0.00
Energy relative to the lowest polymorph listed for this composition, eV/atom: 0.140

***

[3]
Below is an optimized crystal structure of Rb2AlMoCl, with properties calculated at the GGA-PBE level.

Cell: 6.8660 4.9438 6.8660 Å, 90.00 90.00 90.00°
Last column: magnetic moment on the atom in μB.
Fractional positions:
Rb 0.0000 0.0000 0.5000  0.00
Rb 0.5000 0.0000 0.0000  -0.01
Cl 0.5000 0.5000 0.5000  0.01
Al 0.0000 0.0000 0.0000  -0.08
Mo 0.0000 0.5000 0.0000  2.93

Properties
E_form (uncorrected), eV/atom: 0.4454
VASP energy, eV per atom: -3.226
Spin magnetization, μB per atom: 0.69

***

[4]
Below is an optimized crystal structure of YTaZn3, with properties calculated at the GGA-PBE level.

Cell: 4.9111 4.9111 4.9111 Å, 90.00 90.00 90.00°
Fractional positions:
Zn 0.0000 0.0000 0.5000
Zn 0.0000 0.5000 0.0000
Zn 0.5000 0.0000 0.0000
Ta 0.0000 0.0000 0.0000
Y 0.5000 0.5000 0.5000

Properties
VASP energy, eV per atom: -3.842
Spin magnetization, μB per atom: 0.00
Energy relative to the lowest polymorph listed for this composition, eV/atom: 0.000

***

[5]
Below is an optimized crystal structure of Rb2CdSnRh, with properties calculated at the GGA-PBE level.

Cell: 6.9802 4.9464 6.9802 Å, 90.00 90.00 90.00°
Fractional positions:
Rh 0.0000 0.5000 0.0000
Sn 0.0000 0.0000 0.0000
Rb 0.0000 0.0000 0.5000
Rb 0.5000 0.0000 0.0000
Cd 0.5000 0.5000 0.5000

Properties
VASP energy, eV per atom: -2.503
Spin magnetization, μB per atom: 0.00

***

[6]
Below is an optimized crystal structure of K2SiAs, with properties calculated at the GGA-PBE level.

Cell: 3.5723 3.5719 10.1086 Å, 90.00 90.00 90.00°
Fractional positions:
As 0.5000 0.5000 0.6701
K 0.0000 0.0000 0.9057
K 0.5000 0.5000 0.3440
Si 0.0000 0.0000 0.5802

Properties
E_form (uncorrected), eV/atom: 0.0227
VASP energy, eV per atom: -3.044
Spin magnetization, μB per atom: 0.03
Energy relative to the lowest polymorph listed for this composition, eV/atom: 0.258

***

[7]
Below is an optimized crystal structure of Hg2OsRh, with properties calculated at the GGA-PBE level.

Cell: 2.8822 2.8822 9.6393 Å, 90.00 90.00 119.02°
Last column: magnetic moment on the atom in μB.
Fractional positions:
Hg 0.0000 0.0000 0.2453  0.00
Hg 0.0000 0.0000 0.7547  0.00
Rh 0.5000 0.5000 0.0000  0.01
Os 0.5000 0.5000 0.5000  0.22

Properties
VASP energy, eV per atom: -4.120
Spin magnetization, μB per atom: 0.06
Energy relative to the lowest polymorph listed for this composition, eV/atom: 0.338

***

[8]
Below is an optimized crystal structure of Y2Er3TmSb6, with properties calculated at the GGA-PBE level.

Cell: 4.3621 8.7264 9.7549 Å, 102.87 102.92 90.00°
Fractional positions:
Er 0.1673 0.8334 0.3345
Er 0.5000 0.5000 0.0000
Er 0.8327 0.1666 0.6655
Sb 0.9990 0.2487 0.9981
Sb 0.3339 0.9190 0.6678
Sb 0.0010 0.7513 0.0019
Sb 0.6661 0.5847 0.3322
Sb 0.3339 0.4153 0.6678
Sb 0.6661 0.0810 0.3322
Tm 0.5000 0.0000 0.0000
Y 0.8336 0.6670 0.6672
Y 0.1664 0.3330 0.3328

Properties
E_form (uncorrected), eV/atom: -1.1135
VASP energy, eV per atom: -5.765
Spin magnetization, μB per atom: 0.00

***

Question: Among the records above, which one has the lowest VASP energy?
Answer: PmHfIr2